Here is Ac5LaPt4 after structural relaxation from Alexandria via LeMat-Bulk. Energies are from GGA-PBE.

```
Ac5LaPt4
1.0
9.495 -2.196 0.000
9.495 2.196 0.000
-2.146 0.000 8.395
Ac La Pt
5 1 4
Direct
0.000 0.000 0.000
0.333 0.333 0.650
0.338 0.338 0.171
0.662 0.662 0.829
0.667 0.667 0.350
0.000 0.000 0.500
0.167 0.167 0.594
0.500 0.500 0.248
0.500 0.500 0.752
0.833 0.833 0.406
```

Properties
- SG = No. 12
- formation energy (eV/atom) = -0.968
- E (eV per atom) = -5.932
- total moment (μB/f.u.) = 0.0

---

Here is ScCuAg2 after structural relaxation from Alexandria via LeMat-Bulk. Energies are from GGA-PBE.

```
ScCuAg2
1.0
0.000 3.269 3.269
3.269 0.000 3.269
3.269 3.269 0.000
Sc Cu Ag
1 1 2
Direct
0.000 0.000 0.000
0.500 0.500 0.500
0.250 0.250 0.250
0.750 0.750 0.750
```

Properties
- SG = No. 225
- formation energy (eV/atom) = -0.107
- E (eV per atom) = -4.139
- distance to the lowest polymorph of the same formula (eV per atom) = 0.0402
- total moment (μB/f.u.) = 0.0

---

Which formula does entry 2 have? ScCuAg2